# 1
Mg2InAs after structural relaxation. Source: the Alexandria database, functional PBEsol.

- Space group: R-3m
- DFT formation energy: -0.1771 eV/atom
- Polymorph energy (0 for the lowest one): 0.000 eV per atom

a b c (Å): 3.476 3.476 24.969
angles (deg): 90.00 90.00 120.00
Fractional coordinates of all 12 atoms:
Mg (0.000, 0.000, 0.240)
Mg (0.000, 0.000, 0.760)
Mg (0.333, 0.667, 0.427)
Mg (0.333, 0.667, 0.907)
Mg (0.667, 0.333, 0.093)
Mg (0.667, 0.333, 0.573)
In (0.000, 0.000, 0.000)
In (0.333, 0.667, 0.667)
In (0.667, 0.333, 0.333)
As (0.000, 0.000, 0.500)
As (0.333, 0.667, 0.167)
As (0.667, 0.333, 0.833)



# 2
MnZnMo2 after structural relaxation. Source: the Alexandria database, functional PBEsol.

- Space group: R3m
- DFT formation energy: 0.3274 eV/atom

a b c (Å): 2.713 2.713 26.185
angles (deg): 90.00 90.00 120.00
Fractional coordinates of all 12 atoms:
Mn (0.000, 0.000, 0.000)
Mn (0.333, 0.667, 0.667)
Mn (0.667, 0.333, 0.333)
Zn (0.000, 0.000, 0.745)
Zn (0.333, 0.667, 0.412)
Zn (0.667, 0.333, 0.079)
Mo (0.000, 0.000, 0.259)
Mo (0.000, 0.000, 0.501)
Mo (0.333, 0.667, 0.168)
Mo (0.333, 0.667, 0.925)
Mo (0.667, 0.333, 0.592)
Mo (0.667, 0.333, 0.834)



- The highest DFT formation energy belongs to which entry?
  MnZnMo2



- Number 1 is which compound?
  Mg2InAs